Density functional theory data (PBE-GGA) for NaNbAgO3 after structural relaxation.

Results
- E: -6.632 eV/atom
- SG: Pnma (62)
- Crystal system: orthorhombic

Lattice parameters (Å, degrees): 10.1931 3.0494 10.8802 90.00 90.00 90.00
With the nearest neighbours (Å) after each atom.
Fractional positions:
1 Ag 0.5620 0.0000 0.0854  1 O 2.30
2 Ag 0.0620 0.0000 0.4146  1 O 2.30
3 Ag 0.9380 0.5000 0.5854  1 O 2.30
4 Ag 0.4380 0.5000 0.9146  1 O 2.30
5 Na 0.2508 0.0000 0.1206  5 O 2.29-2.48
6 Na 0.7508 0.0000 0.3794  5 O 2.29-2.48
7 Na 0.2492 0.5000 0.6206  5 O 2.29-2.48
8 Na 0.7492 0.5000 0.8794  5 O 2.29-2.48
9 Nb 0.9367 0.5000 0.1306  1 O 1.79
10 Nb 0.4367 0.5000 0.3694  1 O 1.79
11 Nb 0.5633 0.0000 0.6306  1 O 1.79
12 Nb 0.0633 0.0000 0.8694  1 O 1.79
13 O 0.8823 0.0000 0.0082  2 Nb 2.10
14 O 0.0385 0.0000 0.2044  2 Nb 2.01
15 O 0.7950 0.5000 0.2285  1 Nb 1.79
16 O 0.2950 0.5000 0.2715  1 Nb 1.79
17 O 0.5385 0.0000 0.2956  2 Nb 2.01
18 O 0.3823 0.0000 0.4918  2 Nb 2.10
19 O 0.6177 0.5000 0.5082  2 Nb 2.10
20 O 0.4615 0.5000 0.7044  2 Nb 2.01
21 O 0.7050 0.0000 0.7285  1 Nb 1.79
22 O 0.2050 0.0000 0.7715  1 Nb 1.79
23 O 0.9615 0.5000 0.7956  2 Nb 2.01
24 O 0.1177 0.5000 0.9918  2 Nb 2.10

---

Density functional theory data (PBE-GGA) for Zr3AlSe2 after structural relaxation.

Results
- E: -7.005 eV/atom
- SG: Amm2 (38)
- Crystal system: orthorhombic

Lattice parameters (Å, degrees): 11.8223 3.4710 3.4710 60.10 90.00 90.00
With the nearest neighbours (Å) after each atom.
Fractional positions:
1 Al 0.0000 0.6647 0.6647  6 Zr 2.95-2.96
2 Se 0.3412 0.3341 0.3341  6 Zr 2.74-2.75
3 Se 0.6588 0.3341 0.3341  6 Zr 2.74-2.75
4 Zr 0.5000 0.0008 0.0008  6 Se 2.75
5 Zr 0.1832 0.9998 0.9998  3 Se 2.74, 3 Al 2.95-2.96
6 Zr 0.8168 0.9998 0.9998  3 Se 2.74, 3 Al 2.95-2.96

---

Q: Which of these has the lowest E?
A: Zr3AlSe2

---

Repeat the second record exactly.
Density functional theory data (PBE-GGA) for Zr3AlSe2 after structural relaxation.

Results
- E: -7.005 eV/atom
- SG: Amm2 (38)
- Crystal system: orthorhombic

Lattice parameters (Å, degrees): 11.8223 3.4710 3.4710 60.10 90.00 90.00
With the nearest neighbours (Å) after each atom.
Fractional positions:
1 Al 0.0000 0.6647 0.6647  6 Zr 2.95-2.96
2 Se 0.3412 0.3341 0.3341  6 Zr 2.74-2.75
3 Se 0.6588 0.3341 0.3341  6 Zr 2.74-2.75
4 Zr 0.5000 0.0008 0.0008  6 Se 2.75
5 Zr 0.1832 0.9998 0.9998  3 Se 2.74, 3 Al 2.95-2.96
6 Zr 0.8168 0.9998 0.9998  3 Se 2.74, 3 Al 2.95-2.96

---

What did the second record say?
Density functional theory data (PBE-GGA) for Zr3AlSe2 after structural relaxation.

Results
- E: -7.005 eV/atom
- SG: Amm2 (38)
- Crystal system: orthorhombic

Lattice parameters (Å, degrees): 11.8223 3.4710 3.4710 60.10 90.00 90.00
With the nearest neighbours (Å) after each atom.
Fractional positions:
1 Al 0.0000 0.6647 0.6647  6 Zr 2.95-2.96
2 Se 0.3412 0.3341 0.3341  6 Zr 2.74-2.75
3 Se 0.6588 0.3341 0.3341  6 Zr 2.74-2.75
4 Zr 0.5000 0.0008 0.0008  6 Se 2.75
5 Zr 0.1832 0.9998 0.9998  3 Se 2.74, 3 Al 2.95-2.96
6 Zr 0.8168 0.9998 0.9998  3 Se 2.74, 3 Al 2.95-2.96